# RbLiDyS2 (PBE-GGA, relaxed)
# raw formation energy	-1.25	eV per atom
# E_tot	-0.16148	Ha/atom
data_RbLiDyS2
_chemical_formula_sum 'Rb4 Li4 Dy4 S8'
_cell_length_a 7.9119
_cell_length_b 15.6669
_cell_length_c 5.0321
_cell_angle_alpha 90.00
_cell_angle_beta 90.00
_cell_angle_gamma 90.00
_symmetry_space_group_name_H-M 'C m m e'
_symmetry_Int_Tables_number 67
_symmetry_space_group_name_Hall '-C 2a 2'
loop_
_atom_site_label
_atom_site_type_symbol
_atom_site_fract_x
_atom_site_fract_y
_atom_site_fract_z
Rb1 Rb 0.0000 0.2500 0.1648
Li1 Li 0.0000 0.0000 0.0000
Dy1 Dy 0.2500 0.0000 0.5000
S1 S 0.0000 0.1055 0.6489